CaTcCl2 | the Alexandria database | PBE | optimized geometry; size of the total moment = 0.43 μB per cell; offset from the most stable computed form = 409 meV per atom; SG = R-3m (166)
1.0
2.644 -4.292 5.990
3.502 -6.408 2.821
5.838 -3.468 3.897
Tc Cl Ca
1 2 1
Cartesian
5.992 -7.084 6.354
10.543 -12.464 11.180
1.442 -1.705 1.529
0.000 0.000 0.000

***

GeTe2IF | the Alexandria database | PBE | optimized geometry; size of the total moment = 1.59 μB per cell; offset from the most stable computed form = 195 meV per atom; SG = P4/mmm (123)
1.0
-1.141 5.100 1.500
-1.619 1.129 -5.066
-5.232 -1.560 1.324
F Te Ge I
1 2 1 1
Cartesian
-3.996 2.334 -1.121
-0.570 2.550 0.750
-0.809 0.564 -2.533
0.000 0.000 0.000
-2.616 -0.780 0.662

***

NaIrI3 | the Alexandria database | PBE | optimized geometry; size of the total moment = 3.48 μB per cell; offset from the most stable computed form = 1160 meV per atom; SG = Pm-3m (221)
1.0
-5.428 -1.283 1.410
-0.181 -3.889 -4.236
1.898 -4.041 3.629
Na I Ir
1 3 1
Cartesian
0.000 0.000 0.000
-2.714 -0.641 0.705
-0.091 -1.944 -2.118
0.949 -2.020 1.814
-1.856 -4.606 0.401

***

Pd | the Alexandria database | PBE | optimized geometry; size of the total moment = 0.00 μB per cell; energy relative to the elements = 395 meV/atom; offset from the most stable computed form = 395 meV per atom; SG = P4/mbm (127)
1.0
5.132 0.000 0.000
0.000 5.132 0.000
0.000 0.000 2.635
Pd
4
Cartesian
3.517 0.952 0.000
0.952 1.614 0.000
1.614 4.180 0.000
4.180 3.517 0.000